1.
A plane-wave DFT calculation with PBE was carried out for a relaxed ZrSbTe2 crystal.

a b c (Å): 14.7676 3.4309 5.3487
angles (deg): 90.00 98.58 90.00
Closest atoms and distances in Å follow each position.
Fractional coordinates of all 8 atoms:
1 Zr 0.0000 0.0000 0.0000  4 Te 2.94, 4 Sb 3.18
2 Zr 0.5000 0.5000 0.0000  4 Te 2.94, 4 Sb 3.18
3 Sb 0.0000 0.5000 0.5000  2 Te 3.04, 4 Zr 3.18
4 Sb 0.5000 0.0000 0.5000  2 Te 3.04, 4 Zr 3.18
5 Te 0.1569 0.5000 0.1899  2 Zr 2.94, 1 Sb 3.04
6 Te 0.3431 0.0000 0.8101  2 Zr 2.94, 1 Sb 3.04
7 Te 0.6569 0.0000 0.1899  2 Zr 2.94, 1 Sb 3.04
8 Te 0.8431 0.5000 0.8101  2 Zr 2.94, 1 Sb 3.04

Values from the calculation:
E_form (uncorrected)	-357.7	meV/atom
calculated volume	33.5	Å³ per atom
energy	-40.8	eV per cell

2.
A plane-wave DFT calculation with PBE was carried out for a relaxed ZrSbTe2 crystal.

a b c (Å): 3.9561 3.9561 28.8153
angles (deg): 90.00 90.00 120.00
Closest atoms and distances in Å follow each position.
Fractional coordinates of all 12 atoms:
1 Zr 0.0000 0.0000 0.0000  2 Te 2.79
2 Zr 0.3333 0.6667 0.6667  2 Te 2.79
3 Zr 0.6667 0.3333 0.3333  2 Te 2.79
4 Sb 0.0000 0.0000 0.5000  6 Te 3.05
5 Sb 0.3333 0.6667 0.1667  6 Te 3.05
6 Sb 0.6667 0.3333 0.8333  6 Te 3.05
7 Te 0.0000 0.0000 0.0967  1 Zr 2.79, 3 Sb 3.05
8 Te 0.0000 0.0000 0.9033  1 Zr 2.79, 3 Sb 3.05
9 Te 0.3333 0.6667 0.5700  1 Zr 2.79, 3 Sb 3.05
10 Te 0.3333 0.6667 0.7634  1 Zr 2.79, 3 Sb 3.05
11 Te 0.6667 0.3333 0.2366  1 Zr 2.79, 3 Sb 3.05
12 Te 0.6667 0.3333 0.4300  1 Zr 2.79, 3 Sb 3.05

Values from the calculation:
E_form (uncorrected)	299.8	meV/atom
calculated volume	32.5	Å³ per atom
energy	-53.3	eV per cell

3.
A plane-wave DFT calculation with PBE was carried out for a relaxed ZrSbTe2 crystal.

a b c (Å): 4.6278 5.2157 4.7849
angles (deg): 90.00 99.73 90.00
Closest atoms and distances in Å follow each position.
Fractional coordinates of all 4 atoms:
1 Zr 0.0000 0.0000 0.0000  4 Te 3.02, 2 Sb 3.03
2 Sb 0.5000 0.0000 0.5000  2 Zr 3.03, 4 Te 3.33
3 Te 0.2086 0.5000 0.7835  2 Zr 3.02, 3 Te 3.05-3.11, 2 Sb 3.33
4 Te 0.7914 0.5000 0.2165  2 Zr 3.02, 3 Te 3.05-3.11, 2 Sb 3.33

Values from the calculation:
E_form (uncorrected)	-100.5	meV/atom
calculated volume	28.5	Å³ per atom
energy	-19.4	eV per cell

Q: Which of these has the lowest calculated volume?
A: number 3

Copy entry 1 word for word.
A plane-wave DFT calculation with PBE was carried out for a relaxed ZrSbTe2 crystal.

a b c (Å): 14.7676 3.4309 5.3487
angles (deg): 90.00 98.58 90.00
Closest atoms and distances in Å follow each position.
Fractional coordinates of all 8 atoms:
1 Zr 0.0000 0.0000 0.0000  4 Te 2.94, 4 Sb 3.18
2 Zr 0.5000 0.5000 0.0000  4 Te 2.94, 4 Sb 3.18
3 Sb 0.0000 0.5000 0.5000  2 Te 3.04, 4 Zr 3.18
4 Sb 0.5000 0.0000 0.5000  2 Te 3.04, 4 Zr 3.18
5 Te 0.1569 0.5000 0.1899  2 Zr 2.94, 1 Sb 3.04
6 Te 0.3431 0.0000 0.8101  2 Zr 2.94, 1 Sb 3.04
7 Te 0.6569 0.0000 0.1899  2 Zr 2.94, 1 Sb 3.04
8 Te 0.8431 0.5000 0.8101  2 Zr 2.94, 1 Sb 3.04

Values from the calculation:
E_form (uncorrected)	-357.7	meV/atom
calculated volume	33.5	Å³ per atom
energy	-40.8	eV per cell

Q: The highest energy belongs to which entry?
A: number 3